Entry 1:
# ScGe3Ir, relaxed, DFT PBE
data_ScGe3Ir
_cell_length_a 4.911
_cell_length_b 4.911
_cell_length_c 4.911
_cell_angle_alpha 90.00
_cell_angle_beta 90.00
_cell_angle_gamma 90.00
_space_group_name_H-M_alt 'P m -3 m'
_space_group_IT_number 221
_space_group_name_Hall '-P 4 2 3'
loop_
_atom_site_label
_atom_site_fract_x
_atom_site_fract_y
_atom_site_fract_z
Sc1 0.000 0.000 0.000
Ge1 0.000 0.000 0.500
Ir1 0.500 0.500 0.500
# * E: -4.56 eV per atom
# * magnetization: 0.000 μB/f.u.
# * ΔE_f: 1.2515 eV/atom

Entry 2:
# Li2TlAsPd, relaxed, DFT PBE
data_Li2TlAsPd
_cell_length_a 4.818
_cell_length_b 4.818
_cell_length_c 4.754
_cell_angle_alpha 90.00
_cell_angle_beta 90.00
_cell_angle_gamma 90.00
_space_group_name_H-M_alt 'P 4/m m m'
_space_group_IT_number 123
_space_group_name_Hall '-P 4 2'
loop_
_atom_site_label
_atom_site_fract_x
_atom_site_fract_y
_atom_site_fract_z
Li1 0.000 0.500 0.000
Tl1 0.000 0.000 0.500
As1 0.500 0.500 0.000
Pd1 0.500 0.500 0.500
# * E: -3.50 eV per atom
# * magnetization: 0.000 μB/f.u.
# * ΔE_f: -0.2961 eV/atom

Entry 3:
# RbBe2AlF8, relaxed, DFT PBE
data_RbBe2AlF8
_cell_length_a 5.0912
_cell_length_b 5.0912
_cell_length_c 23.3895
_cell_angle_alpha 90.00
_cell_angle_beta 90.00
_cell_angle_gamma 120.00
_space_group_name_H-M_alt 'R -3 m'
_space_group_IT_number 166
_space_group_name_Hall '-R 3 2"'
loop_
_atom_site_label
_atom_site_fract_x
_atom_site_fract_y
_atom_site_fract_z
Rb1 0.0000 0.0000 0.0000
Be1 0.0000 0.0000 0.2369
Al1 0.0000 0.0000 0.5000
F1 0.0000 0.0000 0.3007
F2 0.0000 0.5000 0.1212
# * E: -5.57 eV per atom
# * magnetization: 0.122 μB/f.u.

Entry 4:
# CoP4Ir, relaxed, DFT PBE
data_CoP4Ir
_cell_length_a 6.893
_cell_length_b 6.893
_cell_length_c 6.893
_cell_angle_alpha 90.00
_cell_angle_beta 90.00
_cell_angle_gamma 90.00
_space_group_name_H-M_alt 'F -4 3 m'
_space_group_IT_number 216
_space_group_name_Hall 'F -4 2 3'
loop_
_atom_site_label
_atom_site_fract_x
_atom_site_fract_y
_atom_site_fract_z
Co1 0.000 0.000 0.000
P1 0.127 0.127 0.373
Ir1 0.250 0.250 0.750
# * E: -5.40 eV per atom
# * magnetization: 1.136 μB/f.u.
# * ΔE_f: 0.8714 eV/atom

Entry 5:
# TlBi2Ru, relaxed, DFT PBE
data_TlBi2Ru
_cell_length_a 7.306
_cell_length_b 7.306
_cell_length_c 7.306
_cell_angle_alpha 90.00
_cell_angle_beta 90.00
_cell_angle_gamma 90.00
_space_group_name_H-M_alt 'F m -3 m'
_space_group_IT_number 225
_space_group_name_Hall '-F 4 2 3'
loop_
_atom_site_label
_atom_site_fract_x
_atom_site_fract_y
_atom_site_fract_z
Tl1 0.000 0.000 0.000
Bi1 0.250 0.250 0.250
Ru1 0.000 0.000 0.500
# * E: -4.35 eV per atom
# * magnetization: 0.000 μB/f.u.
# * ΔE_f: 0.4979 eV/atom
# * energy above the most stable polymorph in this dataset: 0.8 kJ per mole of atoms

no.,DOS(E_F) (states/eV/cell)
1,5.30
2,1.28
3,0.00
4,21.12
5,15.89